(1)
## Y12Ag3O5 (PBE)

Data for crystalline Y12Ag3O5 at its relaxed geometry.

Unit cell a=13.385 b=13.385 c=13.385 alpha=109.47 beta=109.47 gamma=109.47
Fractional coordinates of all 80 atoms:
O (0.250, 0.375, 0.625)
O (0.000, 0.500, 0.500)
O (0.125, 0.375, 0.250)
O (0.875, 0.625, 0.750)
O (0.500, 0.500, 0.500)
O (0.500, 0.000, 0.500)
O (0.125, 0.750, 0.375)
O (0.875, 0.250, 0.625)
O (0.500, 0.000, 0.000)
O (0.375, 0.250, 0.125)
O (0.375, 0.125, 0.750)
O (0.625, 0.750, 0.875)
O (0.250, 0.875, 0.125)
O (0.000, 0.000, 0.000)
O (0.000, 0.000, 0.500)
O (0.750, 0.625, 0.375)
O (0.500, 0.500, 0.000)
O (0.000, 0.500, 0.000)
O (0.625, 0.875, 0.250)
O (0.750, 0.125, 0.875)
Ag (0.250, 0.625, 0.875)
Ag (0.125, 0.875, 0.750)
Ag (0.750, 0.375, 0.125)
Ag (0.375, 0.750, 0.625)
Ag (0.875, 0.125, 0.250)
Ag (0.750, 0.875, 0.625)
Ag (0.625, 0.375, 0.750)
Ag (0.375, 0.625, 0.250)
Ag (0.125, 0.250, 0.875)
Ag (0.250, 0.125, 0.375)
Ag (0.625, 0.250, 0.375)
Ag (0.875, 0.750, 0.125)
Y (0.610, 0.013, 0.201)
Y (0.903, 0.091, 0.890)
Y (0.987, 0.597, 0.187)
Y (0.890, 0.591, 0.903)
Y (0.097, 0.187, 0.487)
Y (0.187, 0.097, 0.987)
Y (0.201, 0.513, 0.610)
Y (0.403, 0.390, 0.591)
Y (0.187, 0.091, 0.701)
Y (0.909, 0.097, 0.610)
Y (0.390, 0.987, 0.799)
Y (0.201, 0.687, 0.091)
Y (0.110, 0.701, 0.513)
Y (0.687, 0.487, 0.597)
Y (0.701, 0.591, 0.187)
Y (0.701, 0.110, 0.013)
Y (0.403, 0.013, 0.313)
Y (0.687, 0.201, 0.591)
Y (0.610, 0.597, 0.909)
Y (0.299, 0.890, 0.987)
Y (0.909, 0.813, 0.799)
Y (0.409, 0.299, 0.313)
Y (0.591, 0.890, 0.403)
Y (0.409, 0.110, 0.597)
Y (0.110, 0.409, 0.097)
Y (0.513, 0.201, 0.110)
Y (0.799, 0.313, 0.909)
Y (0.903, 0.813, 0.513)
Y (0.890, 0.299, 0.487)
Y (0.299, 0.409, 0.813)
Y (0.513, 0.313, 0.903)
Y (0.091, 0.187, 0.201)
Y (0.591, 0.701, 0.687)
Y (0.487, 0.799, 0.890)
Y (0.597, 0.610, 0.409)
Y (0.313, 0.799, 0.409)
Y (0.813, 0.909, 0.299)
Y (0.487, 0.687, 0.097)
Y (0.813, 0.903, 0.013)
Y (0.091, 0.903, 0.390)
Y (0.390, 0.403, 0.091)
Y (0.597, 0.987, 0.687)
Y (0.097, 0.909, 0.110)
Y (0.313, 0.513, 0.403)
Y (0.799, 0.487, 0.390)
Y (0.987, 0.390, 0.299)
Y (0.013, 0.610, 0.701)
Y (0.013, 0.403, 0.813)

Properties
As for the volume: 1846.05 Å³ per cell. As for the space group: Ia-3d (230). The density of states at the Fermi level is 16.82 states/eV/f.u. The energy comes out at -7.019 eV per atom.

=====

(2)
## Y2AgO (PBE)

Data for crystalline Y2AgO at its relaxed geometry.

Unit cell a=6.654 b=6.654 c=6.262 alpha=57.91 beta=57.91 gamma=90.00
Fractional coordinates of all 8 atoms:
O (0.500, 0.500, 0.000)
O (0.250, 0.750, 0.500)
Y (0.375, 0.463, 0.750)
Y (0.875, 0.787, 0.750)
Y (0.537, 0.125, 0.250)
Y (0.213, 0.625, 0.250)
Ag (0.750, 0.250, 0.500)
Ag (0.000, 0.000, 0.000)

Properties
As for the volume: 182.98 Å³ per cell. As for the space group: I-42d (122). The density of states at the Fermi level is 6.23 states/eV/f.u. The energy comes out at -6.615 eV per atom.

=====

(3)
## YAgO (PBE)

Data for crystalline YAgO at its relaxed geometry.

Unit cell a=5.663 b=5.664 c=7.587 alpha=111.90 beta=90.00 gamma=90.00
Fractional coordinates of all 12 atoms:
Y (0.000, 0.175, 0.351)
Y (0.000, 0.825, 0.649)
Y (0.500, 0.325, 0.649)
Y (0.500, 0.675, 0.351)
Ag (0.674, 0.826, 0.000)
Ag (0.326, 0.174, 0.000)
Ag (0.826, 0.326, 0.000)
Ag (0.174, 0.674, 0.000)
O (0.250, 0.499, 0.500)
O (0.750, 0.001, 0.500)
O (0.750, 0.501, 0.500)
O (0.250, 0.999, 0.500)

Properties
As for the volume: 225.78 Å³ per cell. The calculation puts the distance to the lowest polymorph of the same formula at 0.0000 eV/atom. As for the space group: Cmce (64). The density of states at the Fermi level is 1.34 states/eV/f.u. The energy comes out at -6.786 eV per atom.

=====

(4)
## YAgO2 (PBE)

Data for crystalline YAgO2 at its relaxed geometry.

Unit cell a=5.125 b=5.125 c=6.566 alpha=67.03 beta=67.03 gamma=90.00
Fractional coordinates of all 8 atoms:
O (0.164, 0.625, 0.250)
O (0.586, 0.125, 0.250)
O (0.375, 0.414, 0.750)
O (0.875, 0.836, 0.750)
Y (0.250, 0.750, 0.500)
Y (0.500, 0.500, 0.000)
Ag (0.000, 0.000, 0.000)
Ag (0.750, 0.250, 0.500)

Properties
As for the volume: 143.84 Å³ per cell. As for the space group: I-42d (122). The density of states at the Fermi level is 0.00 states/eV/f.u. The energy comes out at -6.805 eV per atom.

=====

(5)
## YAg2O (PBE)

Data for crystalline YAg2O at its relaxed geometry.

Unit cell a=8.618 b=8.618 c=6.478 alpha=48.31 beta=48.31 gamma=90.00
Fractional coordinates of all 8 atoms:
Ag (0.375, 0.461, 0.750)
Ag (0.875, 0.789, 0.750)
Ag (0.211, 0.625, 0.250)
Ag (0.539, 0.125, 0.250)
Y (0.000, 0.000, 0.000)
Y (0.750, 0.250, 0.500)
O (0.500, 0.500, 0.000)
O (0.250, 0.750, 0.500)

Properties
As for the volume: 163.22 Å³ per cell. As for the space group: I-42d (122). The density of states at the Fermi level is 1.45 states/eV/f.u. The energy comes out at -5.100 eV per atom.

=====

(6)
## Y2AgO (PBE)

Data for crystalline Y2AgO at its relaxed geometry.

Unit cell a=3.406 b=3.406 c=8.911 alpha=78.98 beta=78.98 gamma=60.00
Fractional coordinates of all 4 atoms:
O (0.500, 0.500, 0.500)
Y (0.886, 0.886, 0.341)
Y (0.114, 0.114, 0.659)
Ag (0.000, 0.000, 0.000)

Properties
As for the volume: 87.30 Å³ per cell. As for the space group: R-3m (166). The density of states at the Fermi level is 1.98 states/eV/f.u. The energy comes out at -6.260 eV per atom.

=====

What is the formula in the third record?
YAgO

=====

The lowest energy belongs to which entry?
Y12Ag3O5

=====

Number 6 is which compound?
Y2AgO

=====

Which value of energy does entry 4 give?
-6.805 eV per atom